#A
Compound: Fe2B2O
Source: Alexandria via LeMat-Bulk
Functional: GGA+U
Structure: optimized geometry

a b c (Å): 5.791 5.791 2.854
angles (deg): 90.00 90.00 90.00
Each line ends with the local moment (μB).
Element x y z (fractional)
B (0.402, 0.902, 0.000)  -0.14
B (0.902, 0.598, 0.000)  -0.14
B (0.598, 0.098, 0.000)  -0.14
B (0.098, 0.402, 0.000)  -0.14
Fe (0.204, 0.704, 0.500)  3.23
Fe (0.704, 0.796, 0.500)  3.23
Fe (0.796, 0.296, 0.500)  3.23
Fe (0.296, 0.204, 0.500)  3.23
O (0.000, 0.000, 0.000)  -0.08
O (0.500, 0.500, 0.000)  -0.08

Properties
Theoretical density (kg/m3): 5180
M_tot (μB/f.u.): 5.93

#B
Compound: Fe2B2O
Source: Alexandria via LeMat-Bulk
Functional: GGA+U
Structure: optimized geometry

a b c (Å): 3.901 3.901 4.402
angles (deg): 63.70 63.70 90.00
Each line ends with the local moment (μB).
Element x y z (fractional)
B (0.377, 0.377, 0.245)  -0.35
B (0.623, 0.623, 0.755)  -0.35
Fe (0.750, 0.250, 0.500)  3.21
Fe (0.250, 0.750, 0.500)  3.21
O (0.000, 0.000, 0.000)  -0.22

Properties
Theoretical density (kg/m3): 4748
M_tot (μB/f.u.): 5.11

Result of the stability comparison: #B is the least stable of them.

#A
Compound: FeB6O6
Source: Alexandria via LeMat-Bulk
Functional: GGA+U
Structure: optimized geometry

a b c (Å): 5.712 5.712 3.909
angles (deg): 74.53 74.53 113.39
Each line ends with the local moment (μB).
Element x y z (fractional)
Fe (0.000, 0.000, 0.000)  3.64
B (0.628, 0.628, 0.718)  0.00
B (0.372, 0.372, 0.282)  0.00
B (0.920, 0.419, 0.858)  0.01
B (0.080, 0.581, 0.142)  0.01
B (0.419, 0.920, 0.858)  0.01
B (0.581, 0.080, 0.142)  0.01
O (0.878, 0.608, 0.528)  0.01
O (0.122, 0.392, 0.472)  0.01
O (0.358, 0.358, 0.919)  0.01
O (0.392, 0.122, 0.472)  0.01
O (0.642, 0.642, 0.081)  0.01
O (0.608, 0.878, 0.528)  0.01

Properties
Theoretical density (kg/m3): 3516
M_tot (μB/f.u.): 3.82

#B
Compound: FeB6O6
Source: Alexandria via LeMat-Bulk
Functional: GGA+U
Structure: optimized geometry

a b c (Å): 4.951 4.951 7.482
angles (deg): 62.24 62.24 67.98
Each line ends with the local moment (μB).
Element x y z (fractional)
Fe (0.000, 0.000, 0.000)  3.59
B (0.611, 0.611, 0.755)  0.01
B (0.389, 0.389, 0.245)  0.01
B (0.005, 0.670, 0.892)  0.02
B (0.995, 0.330, 0.108)  0.02
B (0.670, 0.005, 0.892)  0.02
B (0.330, 0.995, 0.108)  0.02
O (0.760, 0.317, 0.753)  0.04
O (0.240, 0.683, 0.247)  0.04
O (0.779, 0.779, 0.770)  0.00
O (0.683, 0.240, 0.247)  0.04
O (0.221, 0.221, 0.230)  0.00
O (0.317, 0.760, 0.753)  0.04

Properties
Theoretical density (kg/m3): 2558
M_tot (μB/f.u.): 4.00

Result of the stability comparison: #A is the least stable of them.

#A
Compound: FeBPO2
Source: Alexandria via LeMat-Bulk
Functional: GGA+U
Structure: optimized geometry

a b c (Å): 3.540 3.540 5.329
angles (deg): 90.00 90.00 90.00
Each line ends with the local moment (μB).
Element x y z (fractional)
P (0.000, 0.000, 0.500)  -0.09
B (0.500, 0.500, 0.500)  0.03
Fe (0.000, 0.000, 0.000)  3.60
O (0.000, 0.500, 0.000)  0.23
O (0.500, 0.000, 0.000)  0.23

Properties
Theoretical density (kg/m3): 3223
M_tot (μB/f.u.): 4.05

#B
Compound: FeBPO2
Source: Alexandria via LeMat-Bulk
Functional: GGA+U
Structure: optimized geometry

a b c (Å): 3.145 3.145 6.832
angles (deg): 90.00 90.00 90.00
Each line ends with the local moment (μB).
Element x y z (fractional)
P (0.000, 0.000, 0.500)  0.18
B (0.000, 0.000, 0.000)  0.00
Fe (0.500, 0.500, 0.500)  3.45
O (0.000, 0.500, 0.000)  0.12
O (0.500, 0.000, 0.000)  0.12

Properties
Theoretical density (kg/m3): 3185
M_tot (μB/f.u.): 4.15

Result of the stability comparison: #A is the least stable of them.